SrNbSnTe2: relaxed, PBE.

Unit cell a=5.809 b=5.809 c=5.866 alpha=90.00 beta=90.00 gamma=90.00
Space group P4/mmm (No. 123)
Inequivalent atoms, fractional coordinates:
Sr (0.000, 0.000, 0.000)
Nb (0.500, 0.500, 0.000)
Sn (0.000, 0.000, 0.500)
Te (0.000, 0.500, 0.500)

Values from the calculation:
- energy (eV/atom) = -3.53
- N(E_F) (states/eV/f.u.) = 5.6

SrNbV2Sn: relaxed, PBE.

Unit cell a=4.650 b=4.650 c=5.012 alpha=90.00 beta=90.00 gamma=90.00
Space group P4/mmm (No. 123)
Inequivalent atoms, fractional coordinates:
Sr (0.000, 0.000, 0.000)
Nb (0.000, 0.000, 0.500)
V (0.000, 0.500, 0.000)
Sn (0.500, 0.500, 0.500)

Values from the calculation:
- ΔE_f (eV per formula unit) = 11.145
- energy (eV/atom) = -4.57
- N(E_F) (states/eV/f.u.) = 6.1

TaNbSn: relaxed, PBE.

Unit cell a=5.619 b=4.676 c=8.926 alpha=90.00 beta=90.00 gamma=90.00
Space group Pnma (No. 62)
Inequivalent atoms, fractional coordinates:
Ta (0.008, 0.250, 0.239)
Nb (0.229, 0.750, 0.049)
Sn (0.234, 0.750, 0.377)

Values from the calculation:
- ΔE_f (eV per formula unit) = 0.010
- energy (eV/atom) = -8.64
- energy above the most stable polymorph in this dataset (eV per atom) = 0.099
- N(E_F) (states/eV/f.u.) = 1.5

Ta14NbSn: relaxed, PBE.

Unit cell a=6.634 b=9.464 c=9.406 alpha=90.00 beta=90.00 gamma=90.00
Space group Cmmm (No. 65)
Inequivalent atoms, fractional coordinates:
Ta (0.000, 0.000, 0.000)
Ta (0.000, 0.247, 0.249)
Ta (0.000, 0.500, 0.000)
Ta (0.240, 0.500, 0.245)
Ta (0.250, 0.250, 0.000)
Ta (0.250, 0.250, 0.500)
Nb (0.000, 0.500, 0.500)
Sn (0.000, 0.000, 0.500)

Values from the calculation:
- ΔE_f (eV per formula unit) = -0.062
- energy (eV/atom) = -11.25
- N(E_F) (states/eV/f.u.) = 20.0

TaNb2Sn: relaxed, PBE.

Unit cell a=3.501 b=3.501 c=6.202 alpha=90.00 beta=90.00 gamma=90.00
Space group P4/mmm (No. 123)
Inequivalent atoms, fractional coordinates:
Ta (0.000, 0.000, 0.000)
Nb (0.500, 0.500, 0.240)
Sn (0.000, 0.000, 0.500)

Values from the calculation:
- ΔE_f (eV per formula unit) = -0.431
- energy (eV/atom) = -9.11
- N(E_F) (states/eV/f.u.) = 3.2

Ta4Nb2Sn: relaxed, PBE.

Unit cell a=3.195 b=18.666 c=4.641 alpha=90.00 beta=90.00 gamma=90.00
Space group Cmmm (No. 65)
Inequivalent atoms, fractional coordinates:
Ta (0.000, 0.178, 0.000)
Ta (0.000, 0.311, 0.500)
Nb (0.000, 0.071, 0.500)
Sn (0.000, 0.500, 0.000)

Values from the calculation:
- ΔE_f (eV per formula unit) = 2.311
- energy (eV/atom) = -9.89
- energy above the most stable polymorph in this dataset (eV per atom) = 0.139
- N(E_F) (states/eV/f.u.) = 6.0

Ta2NbSn: relaxed, PBE.

Unit cell a=3.1894 b=3.1894 c=27.0527 alpha=90.00 beta=90.00 gamma=120.00
Space group R3m (No. 160, hexagonal axes)
Inequivalent atoms, fractional coordinates:
Ta (0.0000, 0.0000, 0.0000)
Ta (0.0000, 0.0000, 0.1557)
Nb (0.0000, 0.0000, 0.7443)
Sn (0.0000, 0.0000, 0.5773)

Values from the calculation:
- ΔE_f (eV per formula unit) = 1.250
- energy (eV/atom) = -9.13
- N(E_F) (states/eV/f.u.) = 3.7

TaNbSn: relaxed, PBE.

Unit cell a=3.558 b=3.558 c=9.156 alpha=90.00 beta=90.00 gamma=90.00
Space group I4mm (No. 107)
Inequivalent atoms, fractional coordinates:
Ta (0.000, 0.000, 0.000)
Nb (0.000, 0.000, 0.652)
Sn (0.000, 0.000, 0.325)

Values from the calculation:
- ΔE_f (eV per formula unit) = -0.287
- energy (eV/atom) = -8.74
- energy above the most stable polymorph in this dataset (eV per atom) = 0.000
- N(E_F) (states/eV/f.u.) = 1.4